First-principles (PBE-GGA) data for Nb6Ga3C after structural relaxation, as listed in the Alexandria database.

Summary:
Uncorrected energy = -161.28 eV per cell
Space-group type = No. 14
Formation energy = -0.191 eV/atom
Fermi-level density of states = 9.6 states/eV per cell

Cell lengths 5.3757, 7.0097, 8.8981 Å; angles 90.00, 88.10, 90.00 degrees
Closest atoms and distances in Å follow each position.
Element x y z (fractional)
Nb 0.6339 0.1462 0.9452  1 C 2.29
Nb 0.6124 0.2183 0.5612  1 C 2.14
Nb 0.6368 0.4685 0.2701  1 C 2.16
Nb 0.3632 0.5315 0.7299  1 C 2.16
Nb 0.3876 0.7817 0.4388  1 C 2.14
Nb 0.3661 0.8538 0.0548  1 C 2.29
Nb 0.1339 0.3538 0.4452  1 C 2.29
Nb 0.1124 0.2817 0.0612  1 C 2.14
Nb 0.1368 0.0315 0.7701  1 C 2.16
Nb 0.8632 0.9685 0.2299  1 C 2.16
Nb 0.8876 0.7183 0.9388  1 C 2.14
Nb 0.8661 0.6462 0.5548  1 C 2.29
Ga 0.5941 0.8845 0.7303  7 Nb 2.66-2.94
Ga 0.5000 0.5000 0.0000  6 Nb 2.55-2.63
Ga 0.4059 0.1155 0.2697  7 Nb 2.66-2.94
Ga 0.0941 0.6155 0.2303  7 Nb 2.66-2.94
Ga 0.0000 0.0000 0.5000  6 Nb 2.55-2.63
Ga 0.9059 0.3845 0.7697  7 Nb 2.66-2.94
C 0.5000 0.5000 0.5000  6 Nb 2.14-2.29
C 0.0000 0.0000 0.0000  6 Nb 2.14-2.29